DFT (PBE) results for a relaxed Ce2Ga2CoSi4 crystal.

Computed properties:
total energy = -5.708 eV/atom
raw formation energy = -0.517 eV/atom

Cell and atoms, written as extended XYZ:
```
9
Lattice="-4.868 2.789 -2.248 2.893 -4.176 -3.275 -0.592 -3.989 4.502" Properties=species:S:1:pos:R:3 pbc="T T T"
Ce -0.412 -2.735 -2.455
Ce -2.155 -2.641 1.434
Ga 1.648 -5.848 0.879
Ga 0.653 -2.317 0.348
Co 0.000 0.000 0.000
Si 1.931 -4.125 -1.127
Si -0.514 -4.662 -0.118
Si 0.370 -4.041 2.355
Si -2.053 -0.714 -0.903
```